# 1
A relaxed BaSnI5 crystal. Source: Alexandria, functional PBE-GGA.

Calculated values
calculated total energy	-19.9	eV per formula unit
uncorrected formation energy	-6.2	eV per formula unit

Geometry as POSCAR:
```
BaSnI5
1.0
6.6260 -4.8177 0.0000
6.6260 4.8177 0.0000
-4.8207 0.0000 11.0433
Ba Sn I
2 2 10
Cartesian
3.0104 4.1504 8.2825
5.4208 -4.1504 2.7608
6.6260 0.0000 0.0000
4.2156 0.0000 5.5217
3.8442 2.9800 5.0153
-0.9009 0.6705 9.9441
6.9973 2.9800 0.5063
1.5095 -0.6705 4.4225
3.0104 0.5544 8.2825
5.4208 -0.5544 2.7608
6.9217 0.6705 6.6208
1.4339 -2.9800 10.5370
9.3321 -0.6705 1.0992
4.5870 -2.9800 6.0280
```



# 2
A relaxed Ba2SnI crystal. Source: Alexandria, functional PBE-GGA.

Calculated values
calculated total energy	-12.9	eV per formula unit
E above lowest polymorph	16.0	kJ per mole of atoms
uncorrected formation energy	-3.5	eV per formula unit

Geometry as POSCAR:
```
Ba2SnI
1.0
0.0000 4.3441 4.3441
4.3441 0.0000 4.3441
4.3441 4.3441 0.0000
Ba Sn I
2 1 1
Cartesian
2.1721 2.1721 2.1721
6.5162 6.5162 6.5162
0.0000 0.0000 0.0000
4.3441 4.3441 4.3441
```